VASP calculation (PBE-GGA) on an optimized crystal structure of Cd11AgHg17.

Output
The calculation puts the formation energy at 32 meV/atom.

Unit cell a=9.2013 b=9.3484 c=10.4852 alpha=102.42 beta=113.97 gamma=107.35
Closest atoms and distances in Å follow each position.
Space group P1 (No. 1)
Asymmetric unit:
Cd1 0.0000 0.0000 0.0000 x1  7 Hg 3.01-3.24, 3 Cd 3.06-3.34
Cd2 0.9997 0.2248 0.8208 x1  6 Hg 3.03-3.21, 3 Cd 3.03-3.39
Cd3 0.2547 0.6687 0.6312 x1  3 Cd 3.04-3.10, 6 Hg 3.05-3.28
Cd4 0.3281 0.8791 0.4608 x1  5 Hg 3.02-3.12, 2 Cd 3.04-3.17, 1 Ag 3.05
Cd5 0.4267 0.4404 0.5980 x1  3 Cd 3.03-3.31, 5 Hg 3.04-3.23
Cd6 0.4407 0.0421 0.8041 x1  3 Cd 3.02-3.17, 5 Hg 3.02-3.27
Cd7 0.6265 0.4339 0.3978 x1  6 Hg 2.97-3.26, 3 Cd 3.06-3.31
Cd8 0.6279 0.6457 0.2121 x1  1 Ag 2.89, 3 Hg 3.01-3.15, 2 Cd 3.06-3.20
Cd9 0.7651 0.0049 0.4431 x1  1 Ag 2.89, 5 Hg 3.04-3.16, 1 Cd 3.20
Cd10 0.8239 0.6209 0.7508 x1  6 Hg 3.03-3.32, 3 Cd 3.03-3.34
Cd11 0.8327 0.2360 0.0174 x1  3 Cd 3.02-3.06, 5 Hg 3.03-3.14
Ag1 0.4034 0.8085 0.2022 x1  3 Cd 2.89-3.05, 6 Hg 2.94-3.09
Hg1 0.0309 0.5737 0.0352 x1  1 Ag 2.94, 2 Cd 3.03-3.06, 3 Hg 3.24-3.29
Hg2 0.0655 0.2203 0.3197 x1  3 Cd 3.04-3.24, 6 Hg 3.18-3.32
Hg3 0.1811 0.1568 0.6245 x1  4 Cd 3.02-3.21, 2 Hg 3.15-3.18
Hg4 0.2103 0.8554 0.9062 x1  4 Cd 3.01-3.28, 1 Ag 3.09, 4 Hg 3.18-3.34
Hg5 0.2892 0.5465 0.9012 x1  3 Cd 3.03-3.21, 1 Ag 3.08, 5 Hg 3.14-3.34
Hg6 0.3354 0.5522 0.3248 x1  1 Ag 2.98, 4 Cd 3.07-3.32, 2 Hg 3.29-3.32
Hg7 0.3523 0.1026 0.2933 x1  1 Ag 2.95, 3 Cd 2.97-3.11, 3 Hg 3.23-3.26
Hg8 0.3585 0.2585 0.0471 x1  5 Cd 3.05-3.38, 3 Hg 3.20-3.34
Hg9 0.6061 0.4292 0.9293 x1  4 Cd 3.10-3.23, 5 Hg 3.20-3.34
Hg10 0.6325 0.0689 0.1538 x1  1 Ag 2.99, 3 Cd 3.04-3.27, 3 Hg 3.23-3.29
Hg11 0.6322 0.7781 0.9227 x1  3 Cd 3.05-3.39, 5 Hg 3.14-3.25
Hg12 0.6352 0.2282 0.6519 x1  5 Cd 3.11-3.26, 3 Hg 3.24-3.26
Hg13 0.6774 0.8696 0.6588 x1  5 Cd 3.08-3.23, 2 Hg 3.21-3.31
Hg14 0.9206 0.4990 0.2995 x1  4 Cd 3.03-3.27, 4 Hg 3.27-3.35
Hg15 0.9408 0.3779 0.5746 x1  5 Cd 3.01-3.32, 3 Hg 3.20-3.28
Hg16 0.9527 0.7943 0.5583 x1  5 Cd 3.11-3.26, 4 Hg 3.15-3.31
Hg17 0.9701 0.8412 0.2350 x1  3 Cd 3.01-3.20, 5 Hg 3.21-3.35